# 1
Pr2Br2O | PBE-GGA | relaxed

abc: 4.332 4.332 14.119
angles: 90.00 90.00 90.00
Atoms (fractional coordinates):
Pr1 0.000 0.000 0.154
Pr2 0.000 0.000 0.846
Br1 0.000 0.000 0.347
Br2 0.000 0.000 0.653
O1 0.000 0.000 0.000

Values from the calculation:
M_tot (μB per formula unit): 0.00
D(E_F) (states/eV/f.u.): 3.11
Formation energy without anion corrections (eV per formula unit): -5.301
SG: P4/mmm, No. 123

# 2
H5Pt3Pb12 | PBE-GGA | relaxed

abc: 13.320 13.320 13.320
angles: 109.47 109.47 109.47
Atoms (fractional coordinates):
H1 0.000 0.000 0.000
H2 0.000 0.000 0.500
H3 0.000 0.500 0.000
H4 0.000 0.500 0.500
H5 0.125 0.750 0.875
H6 0.125 0.875 0.250
H7 0.250 0.125 0.875
H8 0.250 0.625 0.375
H9 0.375 0.250 0.625
H10 0.375 0.625 0.750
H11 0.500 0.000 0.000
H12 0.500 0.000 0.500
H13 0.500 0.500 0.000
H14 0.500 0.500 0.500
H15 0.625 0.375 0.250
H16 0.625 0.750 0.375
H17 0.750 0.375 0.625
H18 0.750 0.875 0.125
H19 0.875 0.125 0.750
H20 0.875 0.250 0.125
Pt1 0.125 0.250 0.375
Pt2 0.125 0.375 0.750
Pt3 0.250 0.375 0.125
Pt4 0.250 0.875 0.625
Pt5 0.375 0.125 0.250
Pt6 0.375 0.750 0.125
Pt7 0.625 0.250 0.875
Pt8 0.625 0.875 0.750
Pt9 0.750 0.125 0.375
Pt10 0.750 0.625 0.875
Pt11 0.875 0.625 0.250
Pt12 0.875 0.750 0.625
Pb1 0.031 0.214 0.122
Pb2 0.031 0.317 0.909
Pb3 0.091 0.622 0.408
Pb4 0.091 0.969 0.683
Pb5 0.092 0.714 0.683
Pb6 0.092 0.878 0.409
Pb7 0.122 0.031 0.214
Pb8 0.122 0.591 0.908
Pb9 0.183 0.214 0.592
Pb10 0.183 0.469 0.591
Pb11 0.214 0.122 0.031
Pb12 0.214 0.592 0.183
Pb13 0.286 0.317 0.908
Pb14 0.286 0.469 0.378
Pb15 0.317 0.908 0.286
Pb16 0.317 0.909 0.031
Pb17 0.378 0.286 0.469
Pb18 0.378 0.592 0.909
Pb19 0.408 0.091 0.622
Pb20 0.408 0.817 0.786
Pb21 0.409 0.092 0.878
Pb22 0.409 0.817 0.531
Pb23 0.469 0.378 0.286
Pb24 0.469 0.591 0.183
Pb25 0.531 0.409 0.817
Pb26 0.531 0.622 0.714
Pb27 0.591 0.183 0.469
Pb28 0.591 0.908 0.122
Pb29 0.592 0.183 0.214
Pb30 0.592 0.909 0.378
Pb31 0.622 0.408 0.091
Pb32 0.622 0.714 0.531
Pb33 0.683 0.091 0.969
Pb34 0.683 0.092 0.714
Pb35 0.714 0.531 0.622
Pb36 0.714 0.683 0.092
Pb37 0.786 0.408 0.817
Pb38 0.786 0.878 0.969
Pb39 0.817 0.531 0.409
Pb40 0.817 0.786 0.408
Pb41 0.878 0.409 0.092
Pb42 0.878 0.969 0.786
Pb43 0.908 0.122 0.591
Pb44 0.908 0.286 0.317
Pb45 0.909 0.031 0.317
Pb46 0.909 0.378 0.592
Pb47 0.969 0.683 0.091
Pb48 0.969 0.786 0.878

Values from the calculation:
M_tot (μB per formula unit): 0.00
D(E_F) (states/eV/f.u.): 13.02
SG: Ia-3d, No. 230
VASP energy (eV per atom): -3.810